1.
# Sm2Dy12Tm5, relaxed, DFT PBE
# D(E_F) = 1.451 states/eV/atom
# Density = 8.43 g/cm³
# Crystal system = monoclinic
data_Sm2Dy12Tm5
_symmetry_space_group_name_H-M 'C 1 2/m 1'
_symmetry_Int_Tables_number 12
_cell_length_a 15.6897
_cell_length_b 9.1707
_cell_length_c 8.4761
_cell_angle_alpha 90.00
_cell_angle_beta 90.88
_cell_angle_gamma 90.00
loop_
_symmetry_equiv_pos_as_xyz
'x,y,z'
'-x,-y,-z'
'-x,y,-z'
'x,-y,z'
'x+1/2,y+1/2,z'
'-x+1/2,-y+1/2,-z'
'-x+1/2,y+1/2,-z'
'x+1/2,-y+1/2,z'
loop_
_atom_site_label
_atom_site_fract_x
_atom_site_fract_y
_atom_site_fract_z
Sm1 0.0000 0.1812 0.0000
Dy1 0.0588 0.0000 0.3317
Dy2 0.0935 0.5000 0.8831
Dy3 0.1263 0.1923 0.6558
Dy4 0.1566 0.3186 0.2430
Tm1 0.0000 0.5000 0.5000
Tm2 0.1972 0.0000 0.0103
Tm3 0.2318 0.5000 0.5749


2.
# Sm2Dy12Tm5, relaxed, DFT PBE
# D(E_F) = 1.419 states/eV/atom
# Density = 8.66 g/cm³
# Crystal system = triclinic
data_Sm2Dy12Tm5
_symmetry_space_group_name_H-M 'P -1'
_symmetry_Int_Tables_number 2
_cell_length_a 6.1231
_cell_length_b 9.3533
_cell_length_c 11.1686
_cell_angle_alpha 90.05
_cell_angle_beta 100.49
_cell_angle_gamma 109.06
loop_
_symmetry_equiv_pos_as_xyz
'x,y,z'
'-x,-y,-z'
loop_
_atom_site_label
_atom_site_fract_x
_atom_site_fract_y
_atom_site_fract_z
Sm1 0.2098 0.4739 0.4200
Dy1 0.0527 0.3681 0.1038
Dy2 0.1058 0.7386 0.2095
Dy3 0.1576 0.1041 0.3150
Dy4 0.3143 0.2091 0.6321
Dy5 0.3693 0.5795 0.7389
Dy6 0.4207 0.9474 0.8430
Tm1 0.0000 0.0000 0.0000
Tm2 0.2651 0.8440 0.5267
Tm3 0.4735 0.3153 0.9473


The most stable of them is 2.


1.
# SmDy4Tm5, relaxed, DFT PBE
# D(E_F) = 1.403 states/eV/atom
# Density = 8.52 g/cm³
# Crystal system = tetragonal
data_SmDy4Tm5
_symmetry_space_group_name_H-M 'I 4'
_symmetry_Int_Tables_number 79
_cell_length_a 10.1395
_cell_length_b 10.1395
_cell_length_c 6.2361
_cell_angle_alpha 90.00
_cell_angle_beta 90.00
_cell_angle_gamma 90.00
loop_
_symmetry_equiv_pos_as_xyz
'x,y,z'
'-y,x,z'
'-x,-y,z'
'y,-x,z'
'x+1/2,y+1/2,z+1/2'
'-y+1/2,x+1/2,z+1/2'
'-x+1/2,-y+1/2,z+1/2'
'y+1/2,-x+1/2,z+1/2'
loop_
_atom_site_label
_atom_site_fract_x
_atom_site_fract_y
_atom_site_fract_z
Sm1 0.0000 0.0000 0.0000
Dy1 0.0500 0.6512 0.2298
Tm1 0.0000 0.0000 0.4587
Tm2 0.1442 0.7670 0.7265


2.
# SmDy4Tm5, relaxed, DFT PBE
# D(E_F) = 1.259 states/eV/atom
# Density = 8.43 g/cm³
# Crystal system = monoclinic
data_SmDy4Tm5
_symmetry_space_group_name_H-M 'C 1 2/m 1'
_symmetry_Int_Tables_number 12
_cell_length_a 17.0183
_cell_length_b 3.5037
_cell_length_c 10.8689
_cell_angle_alpha 90.00
_cell_angle_beta 90.22
_cell_angle_gamma 90.00
loop_
_symmetry_equiv_pos_as_xyz
'x,y,z'
'-x,-y,-z'
'-x,y,-z'
'x,-y,z'
'x+1/2,y+1/2,z'
'-x+1/2,-y+1/2,-z'
'-x+1/2,y+1/2,-z'
'x+1/2,-y+1/2,z'
loop_
_atom_site_label
_atom_site_fract_x
_atom_site_fract_y
_atom_site_fract_z
Sm1 0.0000 0.0000 0.0000
Dy1 0.0272 0.5000 0.7477
Dy2 0.1532 0.0000 0.2498
Tm1 0.0000 0.0000 0.5000
Tm2 0.1731 0.5000 0.5492
Tm3 0.1743 0.5000 0.9470


The most stable of them is 2.


1.
# Sm5Dy2Tm3, relaxed, DFT PBE
# D(E_F) = 1.810 states/eV/atom
# Density = 7.94 g/cm³
# Crystal system = monoclinic
data_Sm5Dy2Tm3
_symmetry_space_group_name_H-M 'C 1 2/c 1'
_symmetry_Int_Tables_number 15
_cell_length_a 10.6954
_cell_length_b 15.3212
_cell_length_c 9.6948
_cell_angle_alpha 90.00
_cell_angle_beta 123.47
_cell_angle_gamma 90.00
loop_
_symmetry_equiv_pos_as_xyz
'x,y,z'
'-x,-y,-z'
'-x,y,-z+1/2'
'x,-y,z+1/2'
'x+1/2,y+1/2,z'
'-x+1/2,-y+1/2,-z'
'-x+1/2,y+1/2,-z+1/2'
'x+1/2,-y+1/2,z+1/2'
loop_
_atom_site_label
_atom_site_fract_x
_atom_site_fract_y
_atom_site_fract_z
Sm1 0.0000 0.0268 0.2500
Sm2 0.0000 0.2326 0.2500
Sm3 0.0000 0.2705 0.7500
Sm4 0.2392 0.3863 0.2287
Dy1 0.1551 0.3813 0.5495
Tm1 0.0000 0.4695 0.7500
Tm2 0.1461 0.1216 0.0511


2.
# Sm5Dy2Tm3, relaxed, DFT PBE
# D(E_F) = 1.492 states/eV/atom
# Density = 7.63 g/cm³
# Crystal system = orthorhombic
data_Sm5Dy2Tm3
_symmetry_space_group_name_H-M 'I b a m'
_symmetry_Int_Tables_number 72
_symmetry_space_group_name_Hall '-I 2 2c'
_cell_length_a 9.3541
_cell_length_b 13.5506
_cell_length_c 10.8733
_cell_angle_alpha 90.00
_cell_angle_beta 90.00
_cell_angle_gamma 90.00
loop_
_atom_site_label
_atom_site_fract_x
_atom_site_fract_y
_atom_site_fract_z
Sm1 0.0000 0.0000 0.2500
Sm2 0.0000 0.2524 0.2500
Sm3 0.1004 0.1271 0.0000
Dy1 0.0911 0.3792 0.5000
Tm1 0.0000 0.5000 0.2500
Tm2 0.2494 0.1241 0.5000


The most stable of them is 1.


1.
# Sm4Dy7Tm, relaxed, DFT PBE
# D(E_F) = 1.567 states/eV/atom
# Density = 8.15 g/cm³
# Crystal system = triclinic
data_Sm4Dy7Tm
_symmetry_space_group_name_H-M 'P -1'
_symmetry_Int_Tables_number 2
_cell_length_a 6.5199
_cell_length_b 6.8085
_cell_length_c 9.0708
_cell_angle_alpha 85.72
_cell_angle_beta 77.24
_cell_angle_gamma 82.22
loop_
_symmetry_equiv_pos_as_xyz
'x,y,z'
'-x,-y,-z'
loop_
_atom_site_label
_atom_site_fract_x
_atom_site_fract_y
_atom_site_fract_z
Sm1 0.1389 0.3092 0.2826
Sm2 0.3413 0.8827 0.6928
Dy1 0.0113 0.2532 0.9490
Dy2 0.1836 0.8012 0.3597
Dy3 0.3106 0.3933 0.6156
Dy4 0.5000 0.0000 0.0000
Tm1 0.5000 0.5000 0.0000


2.
# Sm4Dy7Tm, relaxed, DFT PBE
# D(E_F) = 1.682 states/eV/atom
# Density = 7.92 g/cm³
# Crystal system = monoclinic
data_Sm4Dy7Tm
_symmetry_space_group_name_H-M 'C 1 2/m 1'
_symmetry_Int_Tables_number 12
_cell_length_a 12.0576
_cell_length_b 5.9069
_cell_length_c 12.7306
_cell_angle_alpha 90.00
_cell_angle_beta 118.07
_cell_angle_gamma 90.00
loop_
_symmetry_equiv_pos_as_xyz
'x,y,z'
'-x,-y,-z'
'-x,y,-z'
'x,-y,z'
'x+1/2,y+1/2,z'
'-x+1/2,-y+1/2,-z'
'-x+1/2,y+1/2,-z'
'x+1/2,-y+1/2,z'
loop_
_atom_site_label
_atom_site_fract_x
_atom_site_fract_y
_atom_site_fract_z
Sm1 0.0561 0.0000 0.3316
Sm2 0.1354 0.5000 0.7770
Dy1 0.0000 0.0000 0.0000
Dy2 0.1363 0.5000 0.5046
Dy3 0.2124 0.0000 0.9240
Dy4 0.2425 0.5000 0.3108
Tm1 0.0000 0.5000 0.0000


The most stable of them is 1.


1.
# Sm2Dy8Tm3, relaxed, DFT PBE
# D(E_F) = 1.678 states/eV/atom
# Density = 8.14 g/cm³
# Crystal system = orthorhombic
data_Sm2Dy8Tm3
_symmetry_space_group_name_H-M 'C m m m'
_symmetry_Int_Tables_number 65
_symmetry_space_group_name_Hall '-C 2 2'
_cell_length_a 7.5737
_cell_length_b 20.5210
_cell_length_c 5.5341
_cell_angle_alpha 90.00
_cell_angle_beta 90.00
_cell_angle_gamma 90.00
loop_
_atom_site_label
_atom_site_fract_x
_atom_site_fract_y
_atom_site_fract_z
Sm1 0.0000 0.2409 0.0000
Dy1 0.0000 0.1296 0.5000
Dy2 0.0000 0.3371 0.5000
Dy3 0.2122 0.3939 0.0000
Tm1 0.0000 0.0000 0.0000
Tm2 0.2153 0.5000 0.5000


2.
# Sm2Dy8Tm3, relaxed, DFT PBE
# D(E_F) = 1.323 states/eV/atom
# Density = 8.40 g/cm³
# Crystal system = monoclinic
data_Sm2Dy8Tm3
_symmetry_space_group_name_H-M 'P 1 21/c 1'
_symmetry_Int_Tables_number 14
_cell_length_a 3.5412
_cell_length_b 12.1698
_cell_length_c 19.3381
_cell_angle_alpha 90.00
_cell_angle_beta 90.02
_cell_angle_gamma 90.00
loop_
_symmetry_equiv_pos_as_xyz
'x,y,z'
'-x,-y,-z'
'-x,y+1/2,-z+1/2'
'x,-y+1/2,z+1/2'
loop_
_atom_site_label
_atom_site_fract_x
_atom_site_fract_y
_atom_site_fract_z
Sm1 0.0010 0.1679 0.1290
Dy1 0.0002 0.0167 0.5834
Dy2 0.0009 0.1212 0.8627
Dy3 0.4993 0.6487 0.2023
Dy4 0.4995 0.7111 0.0189
Tm1 0.4988 0.6244 0.7881
Tm2 0.5000 0.0000 0.0000


The most stable of them is 2.